[1]
First-principles (PBE) data for CrIr2 after structural relaxation, as listed in Alexandria.

a b c (Å): 5.702 5.702 5.702
angles (deg): 90.00 90.00 90.00
Space group Fm-3m (No. 225)
Asymmetric unit:
Cr 0.000 0.000 0.000 (multiplicity 4)
Ir 0.250 0.250 0.250 (multiplicity 8)

Results
Total DFT energy (no corrections) ... -8.998 eV per atom
E_form ... 11.31 kJ per mole of atoms

=====

[2]
First-principles (PBE) data for AlTc2CSe after structural relaxation, as listed in Alexandria.

a b c (Å): 4.662 4.662 3.583
angles (deg): 90.00 90.00 90.00
Space group P4/mmm (No. 123)
Asymmetric unit:
Al 0.000 0.000 0.000 (multiplicity 1)
Tc 0.000 0.500 0.000 (multiplicity 2)
C 0.000 0.000 0.500 (multiplicity 1)
Se 0.500 0.500 0.500 (multiplicity 1)

Results
Total DFT energy (no corrections) ... -5.903 eV per atom
E_form (uncorrected) ... 1.534 eV/atom

=====

Look up the total DFT energy (no corrections) of the second one.
-5.903 eV per atom

=====

What is the total DFT energy (no corrections) in the second record?
-5.903 eV per atom

=====

Which formula does entry 2 have?
AlTc2CSe

=====

Look up the total DFT energy (no corrections) of the second one.
-5.903 eV per atom